Record 1
Compound: Be6Pd5Rh
Source: the Alexandria database
Functional: PBE
Structure: relaxed

Output
Formation energy from the elements (meV/atom): -627

Lattice parameters (Å, degrees): 12.5678 5.6550 3.9861 90.00 108.36 90.00
With the nearest neighbours (Å) after each atom.
Space group C2/m (No. 12)
Inequivalent atoms, fractional coordinates:
1 Be 0.0000 0.2385 0.0000 (multiplicity 4)  2 Rh 2.41, 6 Pd 2.43-2.48
2 Be 0.1633 0.2445 0.6633 (multiplicity 8)  1 Rh 2.39, 7 Pd 2.42-2.46
3 Pd 0.0000 0.5000 0.5000 (multiplicity 2)  8 Be 2.42-2.48
4 Pd 0.1661 0.5000 0.1659 (multiplicity 4)  8 Be 2.46-2.47
5 Pd 0.1694 0.0000 0.1694 (multiplicity 4)  8 Be 2.43-2.46
6 Rh 0.0000 0.0000 0.5000 (multiplicity 2)  8 Be 2.39-2.41



Record 2
Compound: BePdRu2Rh
Source: the Alexandria database
Functional: PBE
Structure: relaxed

Output
Formation energy from the elements (meV/atom): 1587

Lattice parameters (Å, degrees): 4.7704 4.7704 3.9302 90.00 90.00 90.00
With the nearest neighbours (Å) after each atom.
Space group P4/mmm (No. 123)
Inequivalent atoms, fractional coordinates:
1 Be 0.0000 0.0000 0.0000 (multiplicity 1)  2 Pd 1.97
2 Pd 0.0000 0.0000 0.5000 (multiplicity 1)  2 Be 1.97
3 Ru 0.0000 0.5000 0.5000 (multiplicity 2)  2 Pd 2.39
4 Rh 0.5000 0.5000 0.0000 (multiplicity 1)  8 Ru 3.09, 4 Be 3.37



Record 3
Compound: Be2PdRhS
Source: the Alexandria database
Functional: PBE
Structure: relaxed

Output
Raw formation energy (eV per atom): 0.805

Lattice parameters (Å, degrees): 4.0862 4.0862 4.9936 90.00 90.00 90.00
With the nearest neighbours (Å) after each atom.
Space group P4/mmm (No. 123)
Inequivalent atoms, fractional coordinates:
1 Be 0.0000 0.5000 0.0000 (multiplicity 2)  2 Pd 2.04
2 Pd 0.0000 0.0000 0.0000 (multiplicity 1)  4 Be 2.04
3 Rh 0.0000 0.0000 0.5000 (multiplicity 1)  2 Pd 2.50
4 S 0.5000 0.5000 0.5000 (multiplicity 1)  4 Rh 2.89, 8 Be 3.23



Record 4
Compound: BeSiPdRh
Source: the Alexandria database
Functional: PBE
Structure: relaxed

Output
Raw formation energy (eV per atom): -0.604

Lattice parameters (Å, degrees): 5.8155 5.8155 5.8155 90.00 90.00 90.00
With the nearest neighbours (Å) after each atom.
Space group F-43m (No. 216)
Inequivalent atoms, fractional coordinates:
1 Be 0.0000 0.0000 0.0000 (multiplicity 4)  4 Rh 2.52, 4 Pd 2.52
2 Si 0.0000 0.0000 0.5000 (multiplicity 4)  4 Rh 2.52, 4 Pd 2.52
3 Pd 0.2500 0.2500 0.2500 (multiplicity 4)  4 Be 2.52, 4 Si 2.52
4 Rh 0.2500 0.2500 0.7500 (multiplicity 4)  4 Be 2.52, 4 Si 2.52



Record 5
Compound: Be2SnPdRh
Source: the Alexandria database
Functional: PBE
Structure: relaxed

Output
Formation energy from the elements (meV/atom): 367

Lattice parameters (Å, degrees): 4.1195 4.1195 5.1836 90.00 90.00 90.00
With the nearest neighbours (Å) after each atom.
Space group P4/mmm (No. 123)
Inequivalent atoms, fractional coordinates:
1 Be 0.0000 0.5000 0.0000 (multiplicity 2)  2 Rh 2.06
2 Sn 0.0000 0.0000 0.5000 (multiplicity 1)  4 Pd 2.91
3 Pd 0.5000 0.5000 0.5000 (multiplicity 1)  2 Rh 2.59
4 Rh 0.5000 0.5000 0.0000 (multiplicity 1)  4 Be 2.06



Record 6
Compound: SrBePdRh2
Source: the Alexandria database
Functional: PBE
Structure: relaxed

Output
Formation energy from the elements (meV/atom): -225

Lattice parameters (Å, degrees): 4.3716 4.3716 4.4432 90.00 90.00 90.00
With the nearest neighbours (Å) after each atom.
Space group P4/mmm (No. 123)
Inequivalent atoms, fractional coordinates:
1 Sr 0.0000 0.0000 0.0000 (multiplicity 1)  4 Pd 3.09, 8 Rh 3.12
2 Be 0.5000 0.5000 0.5000 (multiplicity 1)  4 Rh 2.19, 2 Pd 2.22
3 Pd 0.5000 0.5000 0.0000 (multiplicity 1)  2 Be 2.22
4 Rh 0.0000 0.5000 0.5000 (multiplicity 2)  2 Be 2.19



Record 7
Compound: ThBePdRh2
Source: the Alexandria database
Functional: PBE
Structure: relaxed

Output
Formation energy from the elements (meV/atom): -812

Lattice parameters (Å, degrees): 4.3646 4.3646 4.3060 90.00 90.00 90.00
With the nearest neighbours (Å) after each atom.
Space group P4/mmm (No. 123)
Inequivalent atoms, fractional coordinates:
1 Th 0.0000 0.0000 0.0000 (multiplicity 1)  8 Rh 3.07, 4 Pd 3.09
2 Be 0.5000 0.5000 0.5000 (multiplicity 1)  2 Pd 2.15, 4 Rh 2.18
3 Pd 0.5000 0.5000 0.0000 (multiplicity 1)  2 Be 2.15
4 Rh 0.0000 0.5000 0.5000 (multiplicity 2)  2 Be 2.18



Record 8
Compound: BeZnPdRh
Source: the Alexandria database
Functional: PBE
Structure: relaxed

Output
Formation energy from the elements (meV/atom): -496

Lattice parameters (Å, degrees): 5.8757 5.8757 5.8757 90.00 90.00 90.00
With the nearest neighbours (Å) after each atom.
Space group F-43m (No. 216)
Inequivalent atoms, fractional coordinates:
1 Be 0.0000 0.0000 0.0000 (multiplicity 4)  4 Rh 2.54, 4 Pd 2.54
2 Zn 0.0000 0.0000 0.5000 (multiplicity 4)  4 Rh 2.54, 4 Pd 2.54
3 Pd 0.2500 0.2500 0.7500 (multiplicity 4)  4 Be 2.54, 4 Zn 2.54
4 Rh 0.2500 0.2500 0.2500 (multiplicity 4)  4 Be 2.54, 4 Zn 2.54



no.,final energy (eV/atom)
1,-5.27
2,-5.38
3,-4.02
4,-6.03
5,-4.43
6,-5.29
7,-7.02
8,-4.88